TePb2W | PBE | relaxed

As for the formation energy without anion corrections: 0.96 eV/atom. As for the final energy: -4.914 eV per atom.

extended XYZ file:
```
4
Lattice="-2.570 2.570 3.767 2.570 -2.570 3.767 2.570 2.570 -3.767" Properties=species:S:1:pos:R:3 pbc="T T T"
Te 0.000 0.000 0.000
Pb 0.000 0.000 3.767
Pb 0.000 2.570 1.883
W 2.570 0.000 1.883
```

---

TePb2W | PBE | relaxed

As for the formation energy without anion corrections: 0.34 eV/atom. As for the final energy: -5.538 eV per atom.

extended XYZ file:
```
4
Lattice="1.701 0.982 10.497 -1.701 0.982 10.497 0.000 -1.964 10.497" Properties=species:S:1:pos:R:3 pbc="T T T"
Te 0.000 0.000 0.000
Pb 0.000 0.000 16.842
Pb 0.000 0.000 24.288
W 0.000 0.000 8.659
```

---

Te2PbW | PBE | relaxed

As for the formation energy without anion corrections: 0.39 eV/atom. As for the final energy: -5.350 eV per atom.

extended XYZ file:
```
4
Lattice="3.261 0.000 0.000 0.000 3.261 0.000 0.000 0.000 9.998" Properties=species:S:1:pos:R:3 pbc="T T T"
Te 0.000 0.000 0.000
Te 1.631 1.631 3.310
Pb 1.631 1.631 7.025
W 0.000 0.000 4.849
```

---

TePbW3 | PBE | relaxed

As for the formation energy without anion corrections: 3.10 eV/atom. As for the final energy: -6.039 eV per atom.

extended XYZ file:
```
5
Lattice="5.052 0.000 0.000 0.000 5.052 0.000 0.000 0.000 5.052" Properties=species:S:1:pos:R:3 pbc="T T T"
Te 0.000 0.000 0.000
Pb 2.526 2.526 2.526
W 0.000 2.526 2.526
W 2.526 0.000 2.526
W 2.526 2.526 0.000
```

---

TePbW4 | PBE | relaxed

As for the formation energy without anion corrections: 0.90 eV/atom. As for the final energy: -8.878 eV per atom.

extended XYZ file:
```
6
Lattice="0.000 3.881 3.881 3.881 0.000 3.881 3.881 3.881 0.000" Properties=species:S:1:pos:R:3 pbc="T T T"
Te 0.000 0.000 0.000
Pb 1.940 1.940 1.940
W 4.856 2.906 2.906
W 2.906 4.856 2.906
W 2.906 2.906 4.856
W 4.856 4.856 4.856
```

---

Te2PbW | PBE | relaxed

As for the formation energy without anion corrections: 0.44 eV/atom. As for the final energy: -5.299 eV per atom.

extended XYZ file:
```
4
Lattice="-1.691 2.572 6.597 1.691 -2.572 6.597 1.691 2.572 -6.597" Properties=species:S:1:pos:R:3 pbc="T T T"
Te 0.000 0.000 2.199
Te 0.000 0.000 10.996
Pb 0.000 2.572 0.000
W 1.691 0.000 0.000
```

---

TePb2W | PBE | relaxed

As for the formation energy without anion corrections: 0.44 eV/atom. As for the final energy: -5.440 eV per atom.

extended XYZ file:
```
4
Lattice="3.344 0.000 0.000 0.000 3.344 0.000 0.000 0.000 9.342" Properties=species:S:1:pos:R:3 pbc="T T T"
Te 0.000 0.000 0.000
Pb 0.000 0.000 3.532
Pb 1.672 1.672 6.416
W 1.672 1.672 1.463
```

---

Te2PbW | PBE | relaxed

As for the formation energy without anion corrections: 0.26 eV/atom. As for the final energy: -5.478 eV per atom.

extended XYZ file:
```
4
Lattice="3.327 0.000 0.000 0.000 3.327 0.000 0.000 0.000 9.348" Properties=species:S:1:pos:R:3 pbc="T T T"
Te 0.000 0.000 1.657
Te 0.000 0.000 7.690
Pb 1.664 1.664 4.674
W 1.664 1.664 0.000
```

---

Te2PbW | PBE | relaxed

As for the formation energy without anion corrections: 1.08 eV/atom. As for the final energy: -4.658 eV per atom.

extended XYZ file:
```
4
Lattice="0.000 3.623 3.623 3.623 0.000 3.623 3.623 3.623 0.000" Properties=species:S:1:pos:R:3 pbc="T T T"
Te 0.000 0.000 0.000
Te 1.812 1.812 1.812
Pb 3.623 3.623 3.623
W 5.435 5.435 5.435
```

---

Te2PbW | PBE | relaxed

As for the formation energy without anion corrections: 0.39 eV/atom. As for the final energy: -5.349 eV per atom.

extended XYZ file:
```
4
Lattice="1.652 0.954 11.427 -1.652 0.954 11.427 0.000 -1.907 11.427" Properties=species:S:1:pos:R:3 pbc="T T T"
Te 0.000 0.000 0.000
Te 0.000 0.000 7.838
Pb 0.000 0.000 15.818
W 0.000 0.000 24.763
```

---

Te2PbW | PBE | relaxed

As for the formation energy without anion corrections: 0.63 eV/atom. As for the final energy: -5.108 eV per atom.

extended XYZ file:
```
4
Lattice="3.108 0.000 0.000 0.000 4.338 0.000 -0.467 0.000 7.806" Properties=species:S:1:pos:R:3 pbc="T T T"
Te 0.593 0.000 2.307
Te 2.048 0.000 5.499
Pb 1.554 2.169 0.000
W 1.320 2.169 3.903
```

---

TePb2W | PBE | relaxed

As for the formation energy without anion corrections: 0.97 eV/atom. As for the final energy: -4.907 eV per atom.

extended XYZ file:
```
4
Lattice="3.518 0.000 0.000 0.000 5.187 0.000 0.000 0.000 5.553" Properties=species:S:1:pos:R:3 pbc="T T T"
Te 0.000 0.000 0.000
Pb 0.000 2.593 2.777
Pb 1.759 0.000 2.777
W 1.759 2.593 0.000
```

---

TePb2W | PBE | relaxed

As for the formation energy without anion corrections: 1.02 eV/atom. As for the final energy: -4.859 eV per atom.

extended XYZ file:
```
4
Lattice="4.309 0.000 0.000 0.000 4.309 0.000 0.000 0.000 5.585" Properties=species:S:1:pos:R:3 pbc="T T T"
Te 0.000 0.000 0.000
Pb 0.000 2.154 2.792
Pb 2.154 0.000 2.792
W 2.154 2.154 0.000
```

---

Te2PbW | PBE | relaxed

As for the formation energy without anion corrections: 0.83 eV/atom. As for the final energy: -4.905 eV per atom.

extended XYZ file:
```
4
Lattice="5.350 0.000 0.000 0.000 5.350 0.000 0.000 0.000 3.527" Properties=species:S:1:pos:R:3 pbc="T T T"
Te 0.000 2.675 0.000
Te 2.675 0.000 0.000
Pb 0.000 0.000 1.763
W 2.675 2.675 1.763
```

---

TePb2W | PBE | relaxed

As for the formation energy without anion corrections: 0.90 eV/atom. As for the final energy: -4.980 eV per atom.

extended XYZ file:
```
4
Lattice="3.058 0.000 0.000 0.000 5.495 0.000 -0.219 0.000 6.046" Properties=species:S:1:pos:R:3 pbc="T T T"
Te 0.000 0.000 0.000
Pb 0.711 2.748 4.443
Pb 2.129 2.748 1.604
W -0.109 0.000 3.023
```

---

TePb2W | PBE | relaxed

As for the formation energy without anion corrections: 0.85 eV/atom. As for the final energy: -5.033 eV per atom.

extended XYZ file:
```
4
Lattice="3.617 0.000 0.000 0.000 3.617 0.000 0.000 0.000 7.564" Properties=species:S:1:pos:R:3 pbc="T T T"
Te 0.000 0.000 0.000
Pb 1.808 1.808 2.188
Pb 1.808 1.808 5.376
W 0.000 0.000 3.782
```

---

Te2PbW | PBE | relaxed

As for the formation energy without anion corrections: 0.61 eV/atom. As for the final energy: -5.123 eV per atom.

extended XYZ file:
```
8
Lattice="-3.506 3.506 5.849 3.506 -3.506 5.849 3.506 3.506 -5.849" Properties=species:S:1:pos:R:3 pbc="T T T"
Te 5.259 1.274 -1.462
Te 1.274 1.753 1.462
Te -1.753 2.232 4.386
Te 2.232 1.753 7.311
Pb 3.506 0.000 2.924
Pb 0.000 0.000 5.849
W 0.000 0.000 0.000
W 0.000 3.506 2.924
```

---

TePb2W | PBE | relaxed

As for the formation energy without anion corrections: 1.00 eV/atom. As for the final energy: -4.883 eV per atom.

extended XYZ file:
```
4
Lattice="3.197 -5.324 0.000 3.197 5.324 0.000 -1.726 0.000 2.938" Properties=species:S:1:pos:R:3 pbc="T T T"
Te 0.000 0.000 0.000
Pb 0.735 2.662 1.469
Pb 0.735 -2.662 1.469
W 3.197 0.000 0.000
```

---

TePb2W | PBE | relaxed

As for the formation energy without anion corrections: 0.54 eV/atom. As for the final energy: -5.333 eV per atom.

extended XYZ file:
```
4
Lattice="3.907 0.000 0.000 0.000 3.523 0.000 -1.948 0.000 8.088" Properties=species:S:1:pos:R:3 pbc="T T T"
Te 0.000 0.000 0.000
Pb -0.002 0.000 4.890
Pb 1.948 1.762 2.763
W 1.953 1.762 6.096
```

---

Te2PbW | PBE | relaxed

As for the formation energy without anion corrections: 0.15 eV/atom. As for the final energy: -5.587 eV per atom.

extended XYZ file:
```
4
Lattice="1.765 1.019 10.325 -1.765 1.019 10.325 0.000 -2.038 10.325" Properties=species:S:1:pos:R:3 pbc="T T T"
Te 0.000 0.000 3.309
Te 0.000 0.000 27.666
Pb 0.000 0.000 0.000
W 0.000 0.000 15.488
```